Entry 1:
# LiEr2Tl9, relaxed, DFT GGA-PBE
data_LiEr2Tl9
_cell_length_a 4.7567
_cell_length_b 4.7567
_cell_length_c 14.2084
_cell_angle_alpha 90.00
_cell_angle_beta 90.00
_cell_angle_gamma 90.00
_symmetry_space_group_name_H-M 'P 4/m m m'
_symmetry_Int_Tables_number 123
_symmetry_space_group_name_Hall '-P 4 2'
loop_
_atom_site_label
_atom_site_type_symbol
_atom_site_fract_x
_atom_site_fract_y
_atom_site_fract_z
Li1 Li 0.0000 0.0000 0.0000
Er1 Er 0.0000 0.0000 0.3353
Tl1 Tl 0.0000 0.5000 0.1634
Tl2 Tl 0.0000 0.5000 0.5000
Tl3 Tl 0.5000 0.5000 0.0000
Tl4 Tl 0.5000 0.5000 0.3317
# * crystal system: tetragonal
# * DOS(E_F): 6.23 states/eV per cell
# * V: 26.8 A^3/atom
# * DFT formation energy: -134 meV per atom
# * final energy: -33.946 eV per formula unit

=====

Entry 2:
# Li5ErTl4, relaxed, DFT GGA-PBE
data_Li5ErTl4
_cell_length_a 14.4426
_cell_length_b 4.8261
_cell_length_c 6.4503
_cell_angle_alpha 90.00
_cell_angle_beta 105.00
_cell_angle_gamma 90.00
_symmetry_space_group_name_H-M 'C 1 2/m 1'
_symmetry_Int_Tables_number 12
loop_
_symmetry_equiv_pos_as_xyz
'x,y,z'
'-x,-y,-z'
'-x,y,-z'
'x,-y,z'
'x+1/2,y+1/2,z'
'-x+1/2,-y+1/2,-z'
'-x+1/2,y+1/2,-z'
'x+1/2,-y+1/2,z'
loop_
_atom_site_label
_atom_site_type_symbol
_atom_site_fract_x
_atom_site_fract_y
_atom_site_fract_z
Li1 Li 0.0000 0.0000 0.0000
Li2 Li 0.1043 0.5000 0.8629
Li3 Li 0.2149 0.0000 0.3338
Er1 Er 0.0000 0.0000 0.5000
Tl1 Tl 0.0970 0.5000 0.3182
Tl2 Tl 0.2025 0.0000 0.8293
# * crystal system: monoclinic
# * DOS(E_F): 9.97 states/eV per cell
# * V: 21.7 A^3/atom
# * DFT formation energy: -230 meV per atom
# * final energy: -25.895 eV per formula unit

=====

Entry 3:
# Li7ErTl4, relaxed, DFT GGA-PBE
data_Li7ErTl4
_cell_length_a 10.9870
_cell_length_b 5.2790
_cell_length_c 10.2451
_cell_angle_alpha 90.00
_cell_angle_beta 120.62
_cell_angle_gamma 90.00
_symmetry_space_group_name_H-M 'C 1 2/m 1'
_symmetry_Int_Tables_number 12
loop_
_symmetry_equiv_pos_as_xyz
'x,y,z'
'-x,-y,-z'
'-x,y,-z'
'x,-y,z'
'x+1/2,y+1/2,z'
'-x+1/2,-y+1/2,-z'
'-x+1/2,y+1/2,-z'
'x+1/2,-y+1/2,z'
loop_
_atom_site_label
_atom_site_type_symbol
_atom_site_fract_x
_atom_site_fract_y
_atom_site_fract_z
Li1 Li 0.0000 0.0000 0.0000
Li2 Li 0.1027 0.5000 0.4442
Li3 Li 0.1639 0.0000 0.6214
Li4 Li 0.1745 0.0000 0.8958
Er1 Er 0.0000 0.5000 0.0000
Tl1 Tl 0.1067 0.0000 0.3120
Tl2 Tl 0.1817 0.5000 0.7990
# * crystal system: monoclinic
# * DOS(E_F): 10.41 states/eV per cell
# * V: 21.3 A^3/atom
# * DFT formation energy: -61 meV per atom
# * final energy: -28.161 eV per formula unit

=====

Entry 4:
# Li2Er5Tl5, relaxed, DFT GGA-PBE
data_Li2Er5Tl5
_cell_length_a 8.5870
_cell_length_b 5.0010
_cell_length_c 14.7442
_cell_angle_alpha 90.00
_cell_angle_beta 101.29
_cell_angle_gamma 90.00
_symmetry_space_group_name_H-M 'C 1 2/m 1'
_symmetry_Int_Tables_number 12
loop_
_symmetry_equiv_pos_as_xyz
'x,y,z'
'-x,-y,-z'
'-x,y,-z'
'x,-y,z'
'x+1/2,y+1/2,z'
'-x+1/2,-y+1/2,-z'
'-x+1/2,y+1/2,-z'
'x+1/2,-y+1/2,z'
loop_
_atom_site_label
_atom_site_type_symbol
_atom_site_fract_x
_atom_site_fract_y
_atom_site_fract_z
Li1 Li 0.0661 0.0000 0.2086
Er1 Er 0.0000 0.5000 0.5000
Er2 Er 0.1934 0.5000 0.0857
Er3 Er 0.2270 0.0000 0.6718
Tl1 Tl 0.0000 0.0000 0.0000
Tl2 Tl 0.1009 0.5000 0.7913
Tl3 Tl 0.1369 0.0000 0.4173
# * crystal system: monoclinic
# * DOS(E_F): 19.92 states/eV per cell
# * V: 25.9 A^3/atom
# * DFT formation energy: -258 meV per atom
# * final energy: -41.571 eV per formula unit

=====

Entry 5:
# Li3Er2Tl3, relaxed, DFT GGA-PBE
data_Li3Er2Tl3
_cell_length_a 8.7439
_cell_length_b 8.7439
_cell_length_c 6.3652
_cell_angle_alpha 90.00
_cell_angle_beta 90.00
_cell_angle_gamma 120.00
_symmetry_space_group_name_H-M 'P 63/m c m'
_symmetry_Int_Tables_number 193
_symmetry_space_group_name_Hall '-P 6c 2'
loop_
_atom_site_label
_atom_site_type_symbol
_atom_site_fract_x
_atom_site_fract_y
_atom_site_fract_z
Li1 Li 0.0000 0.2739 0.2500
Er1 Er 0.3333 0.6667 0.0000
Tl1 Tl 0.0000 0.3756 0.7500
# * crystal system: hexagonal
# * DOS(E_F): 11.45 states/eV per cell
# * V: 26.3 A^3/atom
# * DFT formation energy: -176 meV per atom
# * final energy: -23.374 eV per formula unit

=====

Entry 6:
# LiEr8Tl2, relaxed, DFT GGA-PBE
data_LiEr8Tl2
_cell_length_a 17.6845
_cell_length_b 5.2128
_cell_length_c 6.8599
_cell_angle_alpha 90.00
_cell_angle_beta 100.65
_cell_angle_gamma 90.00
_symmetry_space_group_name_H-M 'C 1 2/m 1'
_symmetry_Int_Tables_number 12
loop_
_symmetry_equiv_pos_as_xyz
'x,y,z'
'-x,-y,-z'
'-x,y,-z'
'x,-y,z'
'x+1/2,y+1/2,z'
'-x+1/2,-y+1/2,-z'
'-x+1/2,y+1/2,-z'
'x+1/2,-y+1/2,z'
loop_
_atom_site_label
_atom_site_type_symbol
_atom_site_fract_x
_atom_site_fract_y
_atom_site_fract_z
Li1 Li 0.0000 0.0000 0.0000
Er1 Er 0.0258 0.5000 0.7600
Er2 Er 0.0912 0.0000 0.4490
Er3 Er 0.1568 0.0000 0.9448
Er4 Er 0.1835 0.5000 0.2665
Tl1 Tl 0.2029 0.5000 0.7217
# * crystal system: monoclinic
# * DOS(E_F): 23.05 states/eV per cell
# * V: 28.2 A^3/atom
# * DFT formation energy: -67 meV per atom
# * final energy: -43.887 eV per formula unit

=====

Entry 7:
# LiEr5Tl3, relaxed, DFT GGA-PBE
data_LiEr5Tl3
_cell_length_a 9.1819
_cell_length_b 9.1819
_cell_length_c 6.6018
_cell_angle_alpha 90.00
_cell_angle_beta 90.00
_cell_angle_gamma 120.00
_symmetry_space_group_name_H-M 'P 63/m c m'
_symmetry_Int_Tables_number 193
_symmetry_space_group_name_Hall '-P 6c 2'
loop_
_atom_site_label
_atom_site_type_symbol
_atom_site_fract_x
_atom_site_fract_y
_atom_site_fract_z
Li1 Li 0.0000 0.0000 0.0000
Er1 Er 0.0000 0.3060 0.2500
Er2 Er 0.3333 0.6667 0.0000
Tl1 Tl 0.0000 0.3530 0.7500
# * crystal system: hexagonal
# * DOS(E_F): 12.18 states/eV per cell
# * V: 26.8 A^3/atom
# * DFT formation energy: -267 meV per atom
# * final energy: -34.227 eV per formula unit

=====

Entry 8:
# LiEr5Tl6, relaxed, DFT GGA-PBE
data_LiEr5Tl6
_cell_length_a 5.2309
_cell_length_b 7.5381
_cell_length_c 15.8459
_cell_angle_alpha 90.00
_cell_angle_beta 90.00
_cell_angle_gamma 90.00
_symmetry_space_group_name_H-M 'I m m m'
_symmetry_Int_Tables_number 71
_symmetry_space_group_name_Hall '-I 2 2'
loop_
_atom_site_label
_atom_site_type_symbol
_atom_site_fract_x
_atom_site_fract_y
_atom_site_fract_z
Li1 Li 0.0000 0.0000 0.0000
Er1 Er 0.0000 0.0000 0.3337
Er2 Er 0.0000 0.5000 0.0000
Er3 Er 0.0000 0.5000 0.3357
Tl1 Tl 0.0000 0.2450 0.1626
Tl2 Tl 0.0000 0.2611 0.5000
# * crystal system: orthorhombic
# * DOS(E_F): 15.36 states/eV per cell
# * V: 26.0 A^3/atom
# * DFT formation energy: -306 meV per atom
# * final energy: -42.596 eV per formula unit

=====

Entry 9:
# LiErTl, relaxed, DFT GGA-PBE
data_LiErTl
_cell_length_a 3.6583
_cell_length_b 3.6583
_cell_length_c 10.8279
_cell_angle_alpha 90.00
_cell_angle_beta 90.00
_cell_angle_gamma 90.00
_symmetry_space_group_name_H-M 'I 4 m m'
_symmetry_Int_Tables_number 107
_symmetry_space_group_name_Hall 'I 4 -2'
loop_
_atom_site_label
_atom_site_type_symbol
_atom_site_fract_x
_atom_site_fract_y
_atom_site_fract_z
Li1 Li 0.0000 0.0000 0.0000
Er1 Er 0.0000 0.0000 0.3086
Tl1 Tl 0.0000 0.0000 0.6219
# * crystal system: tetragonal
# * DOS(E_F): 6.05 states/eV per cell
# * relative energy among the computed polymorphs: 137 meV/atom
# * V: 24.2 A^3/atom
# * DFT formation energy: -123 meV per atom
# * final energy: -9.212 eV per formula unit

=====

Entry 10:
# LiEr2Tl4, relaxed, DFT GGA-PBE
data_LiEr2Tl4
_cell_length_a 5.1330
_cell_length_b 5.1330
_cell_length_c 7.2829
_cell_angle_alpha 90.00
_cell_angle_beta 90.00
_cell_angle_gamma 90.00
_symmetry_space_group_name_H-M 'P 4/m m m'
_symmetry_Int_Tables_number 123
_symmetry_space_group_name_Hall '-P 4 2'
loop_
_atom_site_label
_atom_site_type_symbol
_atom_site_fract_x
_atom_site_fract_y
_atom_site_fract_z
Li1 Li 0.0000 0.0000 0.0000
Er1 Er 0.0000 0.0000 0.5000
Er2 Er 0.5000 0.5000 0.0000
Tl1 Tl 0.0000 0.5000 0.2536
# * crystal system: tetragonal
# * DOS(E_F): 2.55 states/eV per cell
# * V: 27.4 A^3/atom
# * DFT formation energy: -177 meV per atom
# * final energy: -21.741 eV per formula unit

=====

Entry 11:
# Li4ErTl5, relaxed, DFT GGA-PBE
data_Li4ErTl5
_cell_length_a 3.5608
_cell_length_b 3.5608
_cell_length_c 17.5633
_cell_angle_alpha 90.00
_cell_angle_beta 90.00
_cell_angle_gamma 90.00
_symmetry_space_group_name_H-M 'P 4/m m m'
_symmetry_Int_Tables_number 123
_symmetry_space_group_name_Hall '-P 4 2'
loop_
_atom_site_label
_atom_site_type_symbol
_atom_site_fract_x
_atom_site_fract_y
_atom_site_fract_z
Li1 Li 0.0000 0.0000 0.0989
Li2 Li 0.0000 0.0000 0.2899
Er1 Er 0.0000 0.0000 0.5000
Tl1 Tl 0.5000 0.5000 0.0000
Tl2 Tl 0.5000 0.5000 0.1947
Tl3 Tl 0.5000 0.5000 0.3818
# * crystal system: tetragonal
# * DOS(E_F): 4.78 states/eV per cell
# * V: 22.3 A^3/atom
# * DFT formation energy: -239 meV per atom
# * final energy: -26.440 eV per formula unit